No. 1
Crystalline Hg3Pd2S at its relaxed geometry. Source: Alexandria via LeMat-Bulk, functional PBE. Values from VASP.

Values from the calculation:
- Total moment: 0.0 μB per cell
- Density of states at the Fermi level: 6.57 states/eV per cell
- Volume: 20.8 A^3/atom

```
&SYSTEM
  ibrav = 0, nat = 12, ntyp = 3
/
ATOMIC_SPECIES
Hg 200.59 Hg.upf
Pd 106.42 Pd.upf
S 32.06 S.upf
CELL_PARAMETERS angstrom
6.530 0.000 0.000
-3.265 5.655 0.000
0.000 0.000 6.759
ATOMIC_POSITIONS crystal
Hg 0.168 0.336 0.175
Hg 0.168 0.832 0.175
Hg 0.336 0.168 0.825
Hg 0.664 0.832 0.175
Hg 0.832 0.168 0.825
Hg 0.832 0.664 0.825
Pd 0.000 0.000 0.500
Pd 0.000 0.500 0.500
Pd 0.500 0.000 0.500
Pd 0.500 0.500 0.500
S 0.333 0.667 0.703
S 0.667 0.333 0.297
```

---

No. 2
Crystalline HgPdS4 at its relaxed geometry. Source: Alexandria via LeMat-Bulk, functional PBE. Values from VASP.

Values from the calculation:
- Total moment: 0.0 μB per cell
- Volume: 25.6 A^3/atom

```
&SYSTEM
  ibrav = 0, nat = 6, ntyp = 3
/
ATOMIC_SPECIES
Hg 200.59 Hg.upf
Pd 106.42 Pd.upf
S 32.06 S.upf
CELL_PARAMETERS angstrom
4.475 0.000 0.000
-1.039 5.005 0.000
-1.905 -1.532 6.865
ATOMIC_POSITIONS crystal
Hg 0.000 0.000 0.000
Pd 0.500 0.500 0.000
S 0.083 0.613 0.772
S 0.331 0.683 0.265
S 0.669 0.317 0.735
S 0.917 0.387 0.228
```

---

No. 3
Crystalline HgPd2S2 at its relaxed geometry. Source: Alexandria via LeMat-Bulk, functional PBE. Values from VASP.

Values from the calculation:
- Total moment: 0.0 μB per cell
- Density of states at the Fermi level: 3.88 states/eV per cell
- Volume: 22.7 A^3/atom

```
&SYSTEM
  ibrav = 0, nat = 10, ntyp = 3
/
ATOMIC_SPECIES
Hg 200.59 Hg.upf
Pd 106.42 Pd.upf
S 32.06 S.upf
CELL_PARAMETERS angstrom
4.531 0.000 0.000
0.000 4.531 0.000
0.000 0.000 11.033
ATOMIC_POSITIONS crystal
Hg 0.000 0.000 0.000
Hg 0.500 0.500 0.500
Pd 0.000 0.000 0.320
Pd 0.000 0.000 0.680
Pd 0.500 0.500 0.180
Pd 0.500 0.500 0.820
S 0.000 0.500 0.250
S 0.000 0.500 0.750
S 0.500 0.000 0.250
S 0.500 0.000 0.750
```

---

No. 4
Crystalline HgPd2S2 at its relaxed geometry. Source: Alexandria via LeMat-Bulk, functional PBE. Values from VASP.

Values from the calculation:
- Total moment: 0.0 μB per cell
- Density of states at the Fermi level: 6.03 states/eV per cell
- Volume: 24.1 A^3/atom

```
&SYSTEM
  ibrav = 0, nat = 10, ntyp = 3
/
ATOMIC_SPECIES
Hg 200.59 Hg.upf
Pd 106.42 Pd.upf
S 32.06 S.upf
CELL_PARAMETERS angstrom
4.225 0.000 0.000
0.000 4.225 0.000
0.000 0.000 13.513
ATOMIC_POSITIONS crystal
Hg 0.000 0.000 0.000
Hg 0.500 0.500 0.500
Pd 0.000 0.500 0.250
Pd 0.000 0.500 0.750
Pd 0.500 0.000 0.250
Pd 0.500 0.000 0.750
S 0.000 0.000 0.334
S 0.000 0.000 0.666
S 0.500 0.500 0.166
S 0.500 0.500 0.834
```

---

No. 5
Crystalline HgPd3S at its relaxed geometry. Source: Alexandria via LeMat-Bulk, functional PBE. Values from VASP.

Values from the calculation:
- Relative energy among the computed polymorphs: 1345 meV/atom
- Total moment: 0.0 μB per cell
- Density of states at the Fermi level: 6.56 states/eV per cell
- Volume: 25.5 A^3/atom

```
&SYSTEM
  ibrav = 0, nat = 5, ntyp = 3
/
ATOMIC_SPECIES
Hg 200.59 Hg.upf
Pd 106.42 Pd.upf
S 32.06 S.upf
CELL_PARAMETERS angstrom
5.033 0.000 0.000
0.000 5.033 0.000
0.000 0.000 5.033
ATOMIC_POSITIONS crystal
Hg 0.000 0.000 0.000
Pd 0.000 0.000 0.500
Pd 0.000 0.500 0.000
Pd 0.500 0.000 0.000
S 0.500 0.500 0.500
```

---

No. 6
Crystalline HgPdS2 at its relaxed geometry. Source: Alexandria via LeMat-Bulk, functional PBE. Values from VASP.

Values from the calculation:
- Total moment: 0.0 μB per cell
- Density of states at the Fermi level: 0.00 states/eV per cell
- Volume: 24.4 A^3/atom

```
&SYSTEM
  ibrav = 0, nat = 12, ntyp = 3
/
ATOMIC_SPECIES
Hg 200.59 Hg.upf
Pd 106.42 Pd.upf
S 32.06 S.upf
CELL_PARAMETERS angstrom
3.559 0.000 0.000
-1.779 3.082 0.000
0.000 0.000 26.730
ATOMIC_POSITIONS crystal
Hg 0.000 0.000 0.000
Hg 0.333 0.667 0.667
Hg 0.667 0.333 0.333
Pd 0.000 0.000 0.500
Pd 0.333 0.667 0.167
Pd 0.667 0.333 0.833
S 0.000 0.000 0.120
S 0.000 0.000 0.880
S 0.333 0.667 0.547
S 0.333 0.667 0.786
S 0.667 0.333 0.214
S 0.667 0.333 0.453
```

---

No. 7
Crystalline HgPdS2 at its relaxed geometry. Source: Alexandria via LeMat-Bulk, functional PBE. Values from VASP.

Values from the calculation:
- Total moment: 0.0 μB per cell
- Density of states at the Fermi level: 9.61 states/eV per cell
- Volume: 23.5 A^3/atom

```
&SYSTEM
  ibrav = 0, nat = 12, ntyp = 3
/
ATOMIC_SPECIES
Hg 200.59 Hg.upf
Pd 106.42 Pd.upf
S 32.06 S.upf
CELL_PARAMETERS angstrom
3.812 0.000 0.000
-1.906 3.301 0.000
0.000 0.000 22.428
ATOMIC_POSITIONS crystal
Hg 0.000 0.000 0.000
Hg 0.333 0.667 0.667
Hg 0.667 0.333 0.333
Pd 0.000 0.000 0.500
Pd 0.333 0.667 0.167
Pd 0.667 0.333 0.833
S 0.000 0.000 0.401
S 0.000 0.000 0.599
S 0.333 0.667 0.067
S 0.333 0.667 0.266
S 0.667 0.333 0.734
S 0.667 0.333 0.933
```

---

No. 8
Crystalline HgPdS2 at its relaxed geometry. Source: Alexandria via LeMat-Bulk, functional PBE. Values from VASP.

Values from the calculation:
- Total moment: 0.0 μB per cell
- Volume: 26.0 A^3/atom

```
&SYSTEM
  ibrav = 0, nat = 16, ntyp = 3
/
ATOMIC_SPECIES
Hg 200.59 Hg.upf
Pd 106.42 Pd.upf
S 32.06 S.upf
CELL_PARAMETERS angstrom
5.828 0.000 0.000
0.000 12.322 0.000
-1.843 0.000 5.788
ATOMIC_POSITIONS crystal
Hg 0.000 0.114 0.250
Hg 0.000 0.886 0.750
Hg 0.500 0.386 0.750
Hg 0.500 0.614 0.250
Pd 0.000 0.250 0.750
Pd 0.000 0.750 0.250
Pd 0.500 0.250 0.250
Pd 0.500 0.750 0.750
S 0.248 0.121 0.999
S 0.248 0.879 0.499
S 0.252 0.379 0.001
S 0.252 0.621 0.501
S 0.748 0.379 0.499
S 0.748 0.621 0.999
S 0.752 0.121 0.501
S 0.752 0.879 0.001
```

---

Calculated formation energy from raw total energies, -0.10 -0.07 0.03 0.00 1.18 -0.12 0.25 -0.23 eV/atom (same order as the records).